1.
This record from the Alexandria database describes a geometry-optimized HfAlFe structure. The functional is PBE.

Cell lengths 5.0828, 5.0829, 8.2871 Å; angles 90.00, 90.00, 60.53 degrees
Last column: magnetic moment on the atom in μB.
Atoms (fractional coordinates):
Hf  0.3350  0.3350  0.5515  -0.20
Hf  0.6701  0.6701  0.4266  -0.32
Hf  0.6701  0.6701  0.0734  -0.32
Hf  0.3350  0.3350  0.9485  -0.20
Al  0.9936  0.9936  0.4891  -0.02
Al  0.9936  0.9936  0.0109  -0.02
Al  0.8335  0.3448  0.7500  -0.01
Al  0.3449  0.8335  0.7500  -0.01
Fe  0.8341  0.8340  0.7500  1.51
Fe  0.1721  0.6486  0.2500  1.58
Fe  0.6486  0.1720  0.2500  1.58
Fe  0.1695  0.1695  0.2500  1.78

Calculated values
space group	No. 38
ΔH_f (0 K)	-0.426	eV per atom
crystal system	orthorhombic


2.
This record from the Alexandria database describes a geometry-optimized CaCePr2P4 structure. The functional is PBE.

Cell lengths 4.1752, 7.1719, 7.1905 Å; angles 109.15, 90.00, 90.00 degrees
Last column: magnetic moment on the atom in μB.
Atoms (fractional coordinates):
Ca  0.5000  0.5000  0.0000  0.00
Ce  0.0000  0.0000  0.0000  -0.14
Pr  0.5000  0.0000  0.5000  0.00
Pr  0.0000  0.5000  0.5000  0.00
P  0.5000  0.2411  0.2412  0.01
P  0.5000  0.7589  0.7588  0.01
P  0.0000  0.2422  0.7560  0.01
P  0.0000  0.7578  0.2440  0.01

Calculated values
space group	No. 10
ΔH_f (0 K)	-1.388	eV per atom
crystal system	monoclinic


3.
This record from the Alexandria database describes a geometry-optimized K2Tl4In5 structure. The functional is PBE.

Cell lengths 6.3792, 6.3792, 11.1267 Å; angles 98.28, 98.28, 119.85 degrees
Atoms (fractional coordinates):
K  0.8860  0.8860  0.7720
K  0.1140  0.1140  0.2280
Tl  0.4746  0.7888  0.2633
Tl  0.5254  0.2112  0.7367
Tl  0.2112  0.5254  0.7367
Tl  0.7888  0.4746  0.2633
In  0.5000  0.5000  0.0000
In  0.5000  0.0000  0.0000
In  0.0000  0.5000  0.0000
In  0.7500  0.2500  0.5000
In  0.2500  0.7500  0.5000

Calculated values
space group	No. 69
ΔH_f (0 K)	-0.013	eV per atom
crystal system	orthorhombic


Q: The lowest ΔH_f (0 K) belongs to which entry?
A: CaCePr2P4


Q: Number 1 is which compound?
A: HfAlFe


Q: Number 1 is which compound?
A: HfAlFe